[1]
Below is YTl2Ru after structural relaxation, with properties calculated at the PBE-GGA level.

Computed properties:
Crystal system   trigonal
Relative energy among the computed polymorphs   262.8 meV per atom
Formation enthalpy at 0 K   1.08 eV per formula unit

Cell lengths 3.4473, 3.4473, 27.5472 Å; angles 90.00, 90.00, 120.00 degrees
With the nearest neighbours (Å) after each atom.
Space group R-3m (No. 166, hexagonal axes)
Symmetry-distinct sites (fractional):
Y1 0.0000 0.0000 0.0000 [3 per cell]  6 Tl 3.28, 6 Y 3.45
Tl1 0.0000 0.0000 0.2387 [6 per cell]  3 Ru 2.81
Ru1 0.0000 0.0000 0.5000 [3 per cell]  6 Tl 2.81

=====

[2]
Below is FeTeSe2 after structural relaxation, with properties calculated at the PBE-GGA level.

Computed properties:
Crystal system   orthorhombic
Raw formation energy   -0.009 eV/atom

Cell lengths 3.7745, 4.8211, 9.4204 Å; angles 90.00, 90.00, 90.00 degrees
With the nearest neighbours (Å) after each atom.
Space group Amm2 (No. 38)
Symmetry-distinct sites (fractional):
Fe1 0.0000 0.0000 0.0000 [2 per cell]  4 Se 2.41-2.43, 2 Te 2.58
Te1 0.5000 0.0000 0.8133 [2 per cell]  2 Fe 2.58, 2 Se 2.80
Se1 0.0000 0.0000 0.5092 [2 per cell]  2 Fe 2.41
Se2 0.5000 0.0000 0.1626 [2 per cell]  2 Fe 2.43

=====

[3]
Below is Tl2ZnP after structural relaxation, with properties calculated at the PBE-GGA level.

Computed properties:
Crystal system   tetragonal
Relative energy among the computed polymorphs   340.0 meV per atom
Formation enthalpy at 0 K   1.34 eV per formula unit

Cell lengths 3.5012, 3.5012, 7.9055 Å; angles 90.00, 90.00, 90.00 degrees
With the nearest neighbours (Å) after each atom.
Space group P4/mmm (No. 123)
Symmetry-distinct sites (fractional):
Tl1 0.0000 0.0000 0.2321 [2 per cell]  4 P 3.08, 4 Zn 3.26
Zn1 0.5000 0.5000 0.5000 [1 per cell]  8 Tl 3.26, 4 Zn 3.50
P1 0.5000 0.5000 0.0000 [1 per cell]  8 Tl 3.08

=====

[4]
Below is Ba2Tl6HgRh after structural relaxation, with properties calculated at the PBE-GGA level.

Computed properties:
Crystal system   trigonal
Formation enthalpy at 0 K   -1.60 eV per formula unit

Cell lengths 7.5142, 7.5142, 39.3087 Å; angles 90.00, 90.00, 120.00 degrees
With the nearest neighbours (Å) after each atom.
Space group R-3m (No. 166, hexagonal axes)
Symmetry-distinct sites (fractional):
Ba1 0.0000 0.0000 0.1059 [6 per cell]  12 Tl 3.83-4.03, 1 Rh 4.16
Ba2 0.0000 0.0000 0.2804 [6 per cell]  12 Tl 3.75-3.86
Tl1 0.0430 0.5215 0.3022 [18 per cell]  1 Rh 2.74
Tl2 0.0508 0.5254 0.8639 [18 per cell]  1 Rh 2.77, 1 Hg 3.03
Hg1 0.0000 0.0000 0.4259 [6 per cell]  1 Rh 2.91, 6 Tl 3.03-3.07
Rh1 0.0000 0.0000 0.0000 [3 per cell]  6 Tl 2.74
Rh2 0.0000 0.0000 0.5000 [3 per cell]  6 Tl 2.77, 2 Hg 2.91

=====

[5]
Below is CePbBr after structural relaxation, with properties calculated at the PBE-GGA level.

Computed properties:
Crystal system   tetragonal
Raw formation energy   -0.925 eV/atom

Cell lengths 4.4351, 4.4351, 18.3998 Å; angles 90.00, 90.00, 90.00 degrees
With the nearest neighbours (Å) after each atom.
Space group I4/mmm (No. 139)
Symmetry-distinct sites (fractional):
Ce1 0.0000 0.0000 0.1348 [4 per cell]  5 Br 3.20-3.30, 4 Pb 3.33
Pb1 0.0000 0.5000 0.0000 [4 per cell]  4 Pb 3.14, 4 Ce 3.33
Br1 0.0000 0.0000 0.3085 [4 per cell]  5 Ce 3.20-3.30

=====

[6]
Below is YIn2Rh after structural relaxation, with properties calculated at the PBE-GGA level.

Computed properties:
Crystal system   monoclinic
Formation enthalpy at 0 K   -1.49 eV per formula unit

Cell lengths 3.4174, 4.7961, 5.5760 Å; angles 90.00, 102.01, 90.00 degrees
With the nearest neighbours (Å) after each atom.
Space group P2/m (No. 10)
Symmetry-distinct sites (fractional):
Y1 0.0000 0.0000 0.0000 [1 per cell]  2 Rh 2.95, 4 In 3.22
In1 0.3666 0.5000 0.7292 [2 per cell]  2 Rh 2.80, 2 In 2.89-2.97
Rh1 0.5000 0.0000 0.5000 [1 per cell]  4 In 2.80, 2 Y 2.95

=====

[7]
Below is Na3B after structural relaxation, with properties calculated at the PBE-GGA level.

Computed properties:
Crystal system   tetragonal
Relative energy among the computed polymorphs   0.0 meV per atom
Formation enthalpy at 0 K   3.35 eV per formula unit

Cell lengths 4.5128, 4.5128, 8.3376 Å; angles 90.00, 90.00, 90.00 degrees
With the nearest neighbours (Å) after each atom.
Space group I4/mmm (No. 139)
Symmetry-distinct sites (fractional):
Na1 0.0000 0.0000 0.0000 [2 per cell]  8 Na 3.07, 4 B 3.19
Na2 0.0000 0.5000 0.2500 [4 per cell]  8 Na 3.07-3.19, 4 B 3.07
B1 0.0000 0.0000 0.5000 [2 per cell]  12 Na 3.07-3.19

=====

[8]
Below is Ti2MnVMo after structural relaxation, with properties calculated at the PBE-GGA level.

Computed properties:
Crystal system   tetragonal
Formation enthalpy at 0 K   7.04 eV per formula unit

Cell lengths 4.6611, 4.6611, 4.4421 Å; angles 90.00, 90.00, 90.00 degrees
With the nearest neighbours (Å) after each atom.
Space group P4/mmm (No. 123)
Symmetry-distinct sites (fractional):
Ti1 0.0000 0.5000 0.0000 [2 per cell]  2 Mo 2.33
Mn1 0.0000 0.0000 0.5000 [1 per cell]  8 Ti 3.22, 4 V 3.30
V1 0.5000 0.5000 0.5000 [1 per cell]  2 Mo 2.22
Mo1 0.5000 0.5000 0.0000 [1 per cell]  2 V 2.22, 4 Ti 2.33

=====

[9]
Below is Ce3ErTh2 after structural relaxation, with properties calculated at the PBE-GGA level.

Computed properties:
Crystal system   triclinic
Formation enthalpy at 0 K   0.33 eV per formula unit

Cell lengths 5.9991, 6.0103, 10.3845 Å; angles 90.07, 90.09, 109.33 degrees
With the nearest neighbours (Å) after each atom.
Space group P-1 (No. 2)
Symmetry-distinct sites (fractional):
Ce1 0.0005 0.2504 0.0800 [2 per cell]  5 Ce 3.43-3.49, 5 Th 3.45-3.48, 2 Er 3.47-3.48
Ce2 0.0007 0.7502 0.2499 [2 per cell]  5 Ce 3.43-3.49, 5 Th 3.46-3.47, 2 Er 3.47
Ce3 0.4993 0.7503 0.4178 [2 per cell]  4 Ce 3.45-3.48, 5 Th 3.46-3.47, 3 Er 3.46-3.48
Er1 0.4995 0.7491 0.7513 [2 per cell]  5 Th 3.45-3.47, 7 Ce 3.46-3.48
Th1 0.0002 0.2497 0.4156 [2 per cell]  8 Ce 3.46-3.48, 2 Er 3.46-3.47, 2 Th 3.48
Th2 0.4996 0.2496 0.9160 [2 per cell]  7 Ce 3.45-3.47, 3 Er 3.45-3.46, 2 Th 3.47-3.48

=====

[10]
Below is SmDy2IrO8 after structural relaxation, with properties calculated at the PBE-GGA level.

Computed properties:
Crystal system   monoclinic
Raw formation energy   -2.336 eV/atom

Cell lengths 5.0592, 6.8500, 5.0712 Å; angles 90.00, 90.05, 90.00 degrees
With the nearest neighbours (Å) after each atom.
Space group P2/m (No. 10)
Symmetry-distinct sites (fractional):
Sm1 0.0000 0.0000 0.0000 [1 per cell]  6 O 2.24-2.41
Dy1 0.5000 0.2489 0.5000 [2 per cell]  6 O 2.17-2.40
Ir1 0.0000 0.5000 0.0000 [1 per cell]  6 O 1.91-1.94
O1 0.1863 0.2937 0.8160 [4 per cell]  1 Ir 1.94
O2 0.2663 0.5000 0.2681 [2 per cell]  1 Ir 1.91
O3 0.3118 0.0000 0.3140 [2 per cell]  2 Dy 2.17, 1 Sm 2.24

=====

[11]
Below is ErTmNiPb after structural relaxation, with properties calculated at the PBE-GGA level.

Computed properties:
Crystal system   cubic
Formation enthalpy at 0 K   -1.22 eV per formula unit

Cell lengths 7.2069, 7.2069, 7.2069 Å; angles 90.00, 90.00, 90.00 degrees
With the nearest neighbours (Å) after each atom.
Space group F-43m (No. 216)
Symmetry-distinct sites (fractional):
Er1 0.0000 0.0000 0.0000 [4 per cell]  4 Pb 3.12, 4 Ni 3.12
Tm1 0.0000 0.0000 0.5000 [4 per cell]  4 Pb 3.12, 4 Ni 3.12
Ni1 0.2500 0.2500 0.2500 [4 per cell]  4 Er 3.12, 4 Tm 3.12
Pb1 0.2500 0.2500 0.7500 [4 per cell]  4 Er 3.12, 4 Tm 3.12

=====

[12]
Below is VCdFePt2 after structural relaxation, with properties calculated at the PBE-GGA level.

Computed properties:
Crystal system   tetragonal
Formation enthalpy at 0 K   2.50 eV per formula unit

Cell lengths 4.7407, 4.7407, 4.1236 Å; angles 90.00, 90.00, 90.00 degrees
With the nearest neighbours (Å) after each atom.
Space group P4/mmm (No. 123)
Symmetry-distinct sites (fractional):
V1 0.0000 0.0000 0.0000 [1 per cell]  2 Fe 2.06
Cd1 0.5000 0.5000 0.0000 [1 per cell]  8 Pt 3.14, 4 V 3.35
Fe1 0.0000 0.0000 0.5000 [1 per cell]  2 V 2.06
Pt1 0.0000 0.5000 0.5000 [2 per cell]  2 Fe 2.37

=====

[13]
Below is YHoMgAl after structural relaxation, with properties calculated at the PBE-GGA level.

Computed properties:
Crystal system   cubic
Formation enthalpy at 0 K   -1.14 eV per formula unit

Cell lengths 7.3413, 7.3413, 7.3413 Å; angles 90.00, 90.00, 90.00 degrees
With the nearest neighbours (Å) after each atom.
Space group F-43m (No. 216)
Symmetry-distinct sites (fractional):
Y1 0.0000 0.0000 0.0000 [4 per cell]  4 Mg 3.18, 4 Al 3.18
Ho1 0.0000 0.0000 0.5000 [4 per cell]  4 Mg 3.18, 4 Al 3.18
Mg1 0.2500 0.2500 0.7500 [4 per cell]  4 Ho 3.18, 4 Y 3.18
Al1 0.2500 0.2500 0.2500 [4 per cell]  4 Ho 3.18, 4 Y 3.18

=====

[14]
Below is Ba2Be after structural relaxation, with properties calculated at the PBE-GGA level.

Computed properties:
Crystal system   orthorhombic
Relative energy among the computed polymorphs   86.5 meV per atom
Formation enthalpy at 0 K   1.33 eV per formula unit

Cell lengths 4.0390, 22.3509, 5.6410 Å; angles 90.00, 90.00, 90.00 degrees
With the nearest neighbours (Å) after each atom.
Space group Cmcm (No. 63)
Symmetry-distinct sites (fractional):
Ba1 0.0000 0.0590 0.2500 [4 per cell]  6 Be 3.40-3.47
Ba2 0.0000 0.1847 0.7500 [4 per cell]  2 Be 3.38
Be1 0.0000 0.4367 0.2500 [4 per cell]  8 Ba 3.38-3.47

=====

[15]
Below is NdAsS2 after structural relaxation, with properties calculated at the PBE-GGA level.

Computed properties:
Crystal system   trigonal
Raw formation energy   -0.318 eV/atom

Cell lengths 3.7481, 3.7481, 25.2338 Å; angles 90.00, 90.00, 120.00 degrees
With the nearest neighbours (Å) after each atom.
Space group R-3m (No. 166, hexagonal axes)
Symmetry-distinct sites (fractional):
Nd1 0.0000 0.0000 0.0000 [3 per cell]  2 S 2.79
As1 0.0000 0.0000 0.5000 [3 per cell]  6 S 2.58
S1 0.0000 0.0000 0.1107 [6 per cell]  3 As 2.58, 1 Nd 2.79

=====

[16]
Below is RbHf2Pd after structural relaxation, with properties calculated at the PBE-GGA level.

Computed properties:
Crystal system   tetragonal
Relative energy among the computed polymorphs   165.1 meV per atom
Formation enthalpy at 0 K   3.98 eV per formula unit

Cell lengths 5.8116, 5.8116, 17.6093 Å; angles 90.00, 90.00, 90.00 degrees
With the nearest neighbours (Å) after each atom.
Space group I4_1/amd (No. 141, origin choice 2)
Symmetry-distinct sites (fractional):
Rb1 0.0000 0.2500 0.3750 [4 per cell]  8 Hf 3.92, 4 Pd 4.11
Hf1 0.0000 0.0000 0.0000 [8 per cell]  2 Pd 2.64, 2 Hf 2.91
Pd1 0.0000 0.2500 0.8750 [4 per cell]  4 Hf 2.64

=====

[17]
Below is HfPdIO2 after structural relaxation, with properties calculated at the PBE-GGA level.

Computed properties:
Crystal system   tetragonal
Relative energy among the computed polymorphs   1736.9 meV per atom
Raw formation energy   0.236 eV/atom

Cell lengths 4.1571, 4.1571, 5.0568 Å; angles 90.00, 90.00, 90.00 degrees
With the nearest neighbours (Å) after each atom.
Space group P4/mmm (No. 123)
Symmetry-distinct sites (fractional):
Hf1 0.0000 0.0000 0.0000 [1 per cell]  4 I 2.94, 8 O 3.27
Pd1 0.5000 0.5000 0.5000 [1 per cell]  4 O 2.08
I1 0.5000 0.5000 0.0000 [1 per cell]  2 Pd 2.53
O1 0.0000 0.5000 0.5000 [2 per cell]  2 Pd 2.08

=====

[18]
Below is Ti6Cu2N after structural relaxation, with properties calculated at the PBE-GGA level.

Computed properties:
Crystal system   orthorhombic
Raw formation energy   -0.291 eV/atom

Cell lengths 2.9761, 11.9471, 7.2141 Å; angles 90.00, 90.00, 90.00 degrees
With the nearest neighbours (Å) after each atom.
Space group Amm2 (No. 38)
Symmetry-distinct sites (fractional):
Ti1 0.0000 0.0000 0.0000 [2 per cell]  2 N 2.09
Ti2 0.0000 0.1089 0.6431 [4 per cell]  2 N 2.27
Ti3 0.5000 0.0000 0.3361 [2 per cell]  4 Cu 2.60, 2 Ti 2.85
Ti4 0.5000 0.1953 0.9513 [4 per cell]  1 N 2.59, 4 Cu 2.60-2.66, 4 Ti 2.79-2.87
Cu1 0.0000 0.1712 0.2542 [4 per cell]  9 Ti 2.60-2.90
N1 0.5000 0.0000 0.7966 [2 per cell]  6 Ti 2.09-2.27

=====

[19]
Below is CrRuPt2 after structural relaxation, with properties calculated at the PBE-GGA level.

Computed properties:
Crystal system   trigonal
Formation enthalpy at 0 K   -0.29 eV per formula unit

Cell lengths 2.7188, 2.7188, 26.8155 Å; angles 90.00, 90.00, 120.00 degrees
With the nearest neighbours (Å) after each atom.
Space group R3m (No. 160, hexagonal axes)
Symmetry-distinct sites (fractional):
Cr1 0.0000 0.0000 0.0000 [3 per cell]  3 Ru 2.52, 3 Pt 2.66, 6 Cr 2.72
Ru1 0.0000 0.0000 0.7403 [3 per cell]  3 Cr 2.52, 6 Ru 2.72
Pt1 0.0000 0.0000 0.2535 [3 per cell]  3 Cr 2.66, 9 Pt 2.72-2.91
Pt2 0.0000 0.0000 0.4953 [3 per cell]  9 Pt 2.72-2.91, 3 Ru 2.84

=====

[20]
Below is LaTa3Mn after structural relaxation, with properties calculated at the PBE-GGA level.

Computed properties:
Crystal system   cubic
Relative energy among the computed polymorphs   0.0 meV per atom
Formation enthalpy at 0 K   2.93 eV per formula unit

Cell lengths 4.7570, 4.7570, 4.7570 Å; angles 90.00, 90.00, 90.00 degrees
With the nearest neighbours (Å) after each atom.
Space group Pm-3m (No. 221)
Symmetry-distinct sites (fractional):
La1 0.0000 0.0000 0.0000 [1 per cell]  12 Ta 3.36
Ta1 0.0000 0.5000 0.5000 [3 per cell]  2 Mn 2.38
Mn1 0.5000 0.5000 0.5000 [1 per cell]  6 Ta 2.38

=====

[21]
Below is AlHgMo2 after structural relaxation, with properties calculated at the PBE-GGA level.

Computed properties:
Crystal system   monoclinic
Relative energy among the computed polymorphs   145.0 meV per atom
Formation enthalpy at 0 K   1.18 eV per formula unit

Cell lengths 5.4975, 8.9589, 2.7895 Å; angles 90.00, 102.75, 90.00 degrees
With the nearest neighbours (Å) after each atom.
Space group C2/m (No. 12)
Symmetry-distinct sites (fractional):
Al1 0.0000 0.0000 0.0000 [2 per cell]  2 Hg 2.75, 2 Al 2.79, 4 Mo 2.83
Hg1 0.0000 0.5000 0.0000 [2 per cell]  2 Al 2.75, 2 Hg 2.79, 4 Mo 2.83
Mo1 0.2500 0.2500 0.5000 [4 per cell]  4 Mo 2.75-2.79, 2 Hg 2.83, 2 Al 2.83

=====

| no. | Fermi-level density of states (states/eV per atom) |
| --- | --- |
| 1 | 0.93 |
| 2 | 0.78 |
| 3 | 0.35 |
| 4 | 0.65 |
| 5 | 2.66 |
| 6 | 0.45 |
| 7 | 0.64 |
| 8 | 1.84 |
| 9 | 2.42 |
| 10 | 0.44 |
| 11 | 0.37 |
| 12 | 0.60 |
| 13 | 0.57 |
| 14 | 1.42 |
| 15 | 0.56 |
| 16 | 2.17 |
| 17 | 0.47 |
| 18 | 1.10 |
| 19 | 0.93 |
| 20 | 1.16 |
| 21 | 0.53 |